## BiOs2RhSe (PBE-GGA)

Data for crystalline BiOs2RhSe at its relaxed geometry.

Cell lengths 4.6100, 4.6894, 4.6100 Å; angles 90.00, 90.00, 90.00 degrees
Closest atoms and distances in Å follow each position.
Fractional coordinates of all 5 atoms:
Rh: 0.0000 0.5000 0.0000  2 Se 2.34
Os: 0.0000 0.0000 0.5000  2 Se 2.31
Os: 0.5000 0.0000 0.0000  2 Se 2.31
Bi: 0.5000 0.5000 0.5000  4 Rh 3.26, 8 Os 3.29
Se: 0.0000 0.0000 0.0000  4 Os 2.31, 2 Rh 2.34

- D(E_F): 1.02 states/eV per atom
- Space group: No. 123
- Total DFT energy (no corrections): -6.25 eV/atom
- M_tot: 0.00 μB/f.u.
- Density: 12.85 g/cm3